(1)
First-principles (GGA-PBEsol) data for a geometry-optimized Cr3P4O16 structure, as listed in Alexandria.

The calculation puts the density of states at the Fermi level at 0.24 states/eV per atom. Its crystal system is monoclinic. The calculation puts the uncorrected energy at -730.48 eV per cell.

The space group is C2/c (No. 15) and the conventional cell measures 19.099, 6.255 and 10.505 Å, with angles of 90.00, 90.97 and 90.00 degrees. The inequivalent atoms are Cr at (0.154, 0.001, 0.247), Cr at (0.250, 0.250, 0.000), P at (0.087, 0.170, 0.995), P at (0.202, 0.500, 0.249), O at (0.018, 0.273, 0.993), O at (0.099, 0.013, 0.878), O at (0.099, 0.015, 0.113), O at (0.155, 0.313, 0.997), O at (0.158, 0.304, 0.723), O at (0.158, 0.305, 0.271), O at (0.241, 0.036, 0.860) and O at (0.241, 0.037, 0.140).

---

(2)
First-principles (GGA-PBEsol) data for a geometry-optimized CrPO4 structure, as listed in Alexandria.

Its crystal system is monoclinic. The calculation puts the uncorrected energy at -394.13 eV per cell.

The space group is P2_1/c (No. 14) and the conventional cell measures 5.473, 11.322 and 9.432 Å, with angles of 90.00, 90.60 and 90.00 degrees. The inequivalent atoms are Cr at (0.142, 0.102, 0.244), Cr at (0.355, 0.614, 0.494), P at (0.089, 0.132, 0.906), P at (0.411, 0.623, 0.161), O at (0.014, 0.658, 0.440), O at (0.132, 0.239, 0.819), O at (0.133, 0.558, 0.653), O at (0.167, 0.559, 0.175), O at (0.326, 0.056, 0.925), O at (0.369, 0.049, 0.389), O at (0.385, 0.736, 0.075) and O at (0.484, 0.153, 0.182).

---

(3)
First-principles (GGA-PBEsol) data for a geometry-optimized Cr2P5O16 structure, as listed in Alexandria.

The calculation puts the density of states at the Fermi level at 0.48 states/eV per atom. Its crystal system is monoclinic. The calculation puts the uncorrected energy at -363.47 eV per cell.

The space group is P2/c (No. 13) and the conventional cell measures 4.979, 6.662 and 18.690 Å, with angles of 90.00, 91.19 and 90.00 degrees. The inequivalent atoms are Cr at (0.247, 0.180, 0.407), P at (0.000, 0.263, 0.250), P at (0.244, 0.124, 0.575), P at (0.263, 0.460, 0.131), O at (0.044, 0.047, 0.929), O at (0.060, 0.355, 0.083), O at (0.149, 0.143, 0.306), O at (0.206, 0.413, 0.213), O at (0.225, 0.306, 0.632), O at (0.338, 0.217, 0.505), O at (0.440, 0.022, 0.110) and O at (0.445, 0.419, 0.383).

---

(4)
First-principles (GGA-PBEsol) data for a geometry-optimized Cr2P3O10 structure, as listed in Alexandria.

The calculation puts the density of states at the Fermi level at 0.31 states/eV per atom. Its crystal system is monoclinic. The calculation puts the uncorrected energy at -240.94 eV per cell.

The space group is P2_1/m (No. 11) and the conventional cell measures 4.631, 8.428 and 8.871 Å, with angles of 90.00, 97.43 and 90.00 degrees. The inequivalent atoms are Cr at (0.050, 0.071, 0.329), P at (0.321, 0.250, 0.810), P at (0.395, 0.750, 0.470), P at (0.473, 0.250, 0.145), O at (0.153, 0.099, 0.786), O at (0.207, 0.750, 0.776), O at (0.229, 0.596, 0.499), O at (0.290, 0.250, 0.444), O at (0.318, 0.097, 0.177), O at (0.419, 0.750, 0.294) and O at (0.482, 0.750, 0.032).

---

(5)
First-principles (GGA-PBEsol) data for a geometry-optimized CrP2O6 structure, as listed in Alexandria.

Its crystal system is monoclinic. The calculation puts the uncorrected energy at -283.82 eV per cell.

The space group is C2/c (No. 15) and the conventional cell measures 9.674, 8.803 and 5.041 Å, with angles of 90.00, 100.95 and 90.00 degrees. The inequivalent atoms are Cr at (0.000, 0.108, 0.250), P at (0.210, 0.413, 0.231), O at (0.133, 0.068, 0.710), O at (0.142, 0.495, 0.952) and O at (0.152, 0.255, 0.219).

---

(6)
First-principles (GGA-PBEsol) data for a geometry-optimized Cr3P2O8 structure, as listed in Alexandria.

The calculation puts the density of states at the Fermi level at 0.01 states/eV per atom. Its crystal system is monoclinic. The calculation puts the uncorrected energy at -215.62 eV per cell.

The space group is P2_1/c (No. 14) and the conventional cell measures 4.960, 9.449 and 8.014 Å, with angles of 90.00, 126.70 and 90.00 degrees. The inequivalent atoms are Cr at (0.000, 0.000, 0.000), Cr at (0.202, 0.123, 0.651), P at (0.344, 0.682, 0.350), O at (0.098, 0.583, 0.161), O at (0.216, 0.668, 0.818), O at (0.308, 0.177, 0.113) and O at (0.386, 0.614, 0.543).

---

| no. | uncorrected formation energy (kJ/mol of formula units) |
| --- | --- |
| 1 | -4317 |
| 2 | -1181 |
| 3 | -4661 |
| 4 | -2906 |
| 5 | -1701 |
| 6 | -2268 |